# 1
Computed, not measured: crystalline KPrTl2Br6 at its relaxed geometry at the PBE level of DFT.

```
KPrTl2Br6
1.0
-1.520 -5.502 -5.919
-2.194 -7.675 1.971
-8.067 -2.455 -1.370
K Pr Tl Br
1 1 2 6
direct
0.814 0.815 0.556
0.322 0.322 0.034
0.526 0.526 0.422
0.020 0.020 0.941
0.574 0.200 0.250
0.200 0.975 0.250
0.975 0.575 0.249
0.427 0.679 0.771
0.680 0.123 0.771
0.123 0.427 0.771
```

Output
The value obtained for the density of states at the Fermi level is 0.000 states/eV/atom. The value obtained for the uncorrected formation energy is -1.463 eV/atom. As for the total magnetization: 0.00 μB per cell.



# 2
Computed, not measured: crystalline PmLuGaCo at its relaxed geometry at the PBE level of DFT.

```
PmLuGaCo
1.0
4.939 0.000 0.000
2.469 4.277 0.000
2.469 1.426 4.033
Lu Co Ga Pm
1 1 1 1
direct
0.500 0.500 0.500
0.750 0.750 0.750
0.250 0.250 0.250
0.000 0.000 0.000
```

Output
The formation energy from the elements comes out at -0.29 eV/atom. The value obtained for the density of states at the Fermi level is 0.647 states/eV/atom. As for the total magnetization: 1.04 μB per cell.



# 3
Computed, not measured: crystalline K2NaTb at its relaxed geometry at the PBE level of DFT.

```
K2NaTb
1.0
3.760 0.000 0.000
1.880 3.256 0.000
1.880 1.085 14.596
Na K Tb
1 2 1
direct
0.500 0.500 0.500
0.085 0.085 0.746
0.915 0.915 0.254
0.000 0.000 0.000
```

Output
The formation energy from the elements comes out at 0.36 eV/atom. The value obtained for the density of states at the Fermi level is 1.073 states/eV/atom. As for the total magnetization: 0.06 μB per cell.



# 4
Computed, not measured: crystalline BaNa2CdF8 at its relaxed geometry at the PBE level of DFT.

```
BaNa2CdF8
1.0
4.392 -0.045 -0.002
-0.003 5.168 -0.005
0.003 0.008 8.315
Ba Na Cd F
1 2 1 8
direct
0.000 0.000 0.500
0.500 0.500 0.772
0.500 0.500 0.228
0.000 0.000 0.000
0.998 0.742 0.221
0.500 0.772 0.000
0.002 0.258 0.221
0.002 0.258 0.779
0.500 0.228 0.000
0.998 0.742 0.779
0.496 0.724 0.500
0.504 0.276 0.500
```

Output
The value obtained for the density of states at the Fermi level is 0.381 states/eV/atom. The value obtained for the uncorrected formation energy is -2.371 eV/atom. As for the total magnetization: 2.01 μB per cell.



Electronic total energy? In order: -35.273 -20.553 -6.693 -48.898 eV/cell.